(1)
meta-GGA SCAN Li2TiAgOs, PBEsol geometry; ρ = 6.08 Mg/m³; electronic total energy = -120.67 eV per cell
1.0
4.6731 0.0000 0.0000
0.0000 4.6731 0.0000
0.0000 0.0000 4.4987
Li Ti Ag Os
2 1 1 1
Direct
0.0000 0.5000 0.0000
0.5000 0.0000 0.0000
0.0000 0.0000 0.5000
0.5000 0.5000 0.5000
0.0000 0.0000 0.0000

=====

(2)
meta-GGA SCAN LiAg4P, PBEsol geometry; ρ = 7.20 Mg/m³; electronic total energy = -137.19 eV per cell
1.0
0.0000 3.7822 3.7822
3.7822 0.0000 3.7822
3.7822 3.7822 0.0000
Li Ag P
1 4 1
Direct
0.0000 0.0000 0.0000
0.3748 0.3748 0.3748
0.3748 0.3748 0.8755
0.3748 0.8755 0.3748
0.8755 0.3748 0.3748
0.7500 0.7500 0.7500

=====

(3)
meta-GGA SCAN LiAgP3, PBEsol geometry; ρ = 3.11 Mg/m³; electronic total energy = -60.06 eV per cell
1.0
4.8039 0.0000 0.0000
0.0000 4.8039 0.0000
0.0000 0.0000 4.8039
Li Ag P
1 1 3
Direct
0.0000 0.0000 0.0000
0.5000 0.5000 0.5000
0.0000 0.5000 0.5000
0.5000 0.0000 0.5000
0.5000 0.5000 0.0000

=====

(4)
meta-GGA SCAN Li3AgP, PBEsol geometry; ρ = 2.77 Mg/m³; electronic total energy = -49.93 eV per cell
1.0
4.5746 0.0000 0.0000
0.0000 4.5746 0.0000
0.0000 0.0000 4.5746
Li Ag P
3 1 1
Direct
0.0000 0.0000 0.5000
0.0000 0.5000 0.0000
0.5000 0.0000 0.0000
0.5000 0.5000 0.5000
0.0000 0.0000 0.0000

=====

(5)
meta-GGA SCAN LiAg2P, PBEsol geometry; ρ = 7.00 Mg/m³; energy above the lowest structure with this stoichiometry = 0.000 eV/f.u.
1.0
-2.0612 2.0612 3.5427
2.0612 -2.0612 3.5427
2.0612 2.0612 -3.5427
Li Ag P
1 2 1
Direct
0.0000 0.0000 0.0000
0.2500 0.7500 0.5000
0.7500 0.2500 0.5000
0.5000 0.5000 0.0000

=====

(6)
meta-GGA SCAN LiAg2P, PBEsol geometry; ρ = 6.84 Mg/m³; energy above the lowest structure with this stoichiometry = 0.431 eV/f.u.
1.0
4.3190 -1.4059 0.0000
4.3190 1.4059 0.0000
-0.6961 0.0000 5.0723
Li Ag P
1 2 1
Direct
0.0000 0.0000 0.0000
0.5116 0.5116 0.5383
0.7590 0.7590 0.2479
0.2559 0.2559 0.7943

=====

no.,size of the total moment (μB/cell)
1,0.00
2,0.00
3,0.00
4,0.00
5,0.00
6,0.00